Version w
An optimized crystal structure of Ca2LaTc. Source: Alexandria, functional GGA-PBE.

Unit cell a=3.9808 b=3.9808 c=7.0052 alpha=90.00 beta=90.00 gamma=90.00
With the nearest neighbours (Å) after each atom.
Element x y z (fractional)
Ca 0.0000 0.0000 0.2036  1 Ca 2.85, 4 Tc 3.16
Ca 0.0000 0.0000 0.7964  1 Ca 2.85, 4 Tc 3.16
La 0.5000 0.5000 0.5000  8 Ca 3.50, 2 Tc 3.50
Tc 0.5000 0.5000 0.0000  8 Ca 3.16, 2 La 3.50

Output
**Calculated volume**: 111 Å³ per cell
**Space group**: P4/mmm, No. 123
**Density**: 4.743 Mg/m³


Version x
An optimized crystal structure of Ca2LaTc. Source: Alexandria, functional GGA-PBE.

Unit cell a=8.5897 b=8.5897 c=8.5897 alpha=156.82 beta=148.82 gamma=39.21
With the nearest neighbours (Å) after each atom.
Element x y z (fractional)
Ca 0.1636 0.1636 0.0000  2 Tc 3.16, 2 Ca 3.45, 2 La 3.51
Ca 0.8364 0.8364 0.0000  2 Tc 3.16, 2 Ca 3.45, 2 La 3.51
La 0.5000 0.0000 0.5000  4 Tc 2.88
Tc 0.0000 0.5000 0.5000  4 La 2.88, 4 Ca 3.16

Output
**Calculated volume**: 129 Å³ per cell
**Space group**: Immm, No. 71
**Density**: 4.083 Mg/m³


Which of them is the most stable? Correct choice: version x.


Version w
An optimized crystal structure of CaLa2Tc2. Source: Alexandria, functional GGA-PBE.

Unit cell a=6.5593 b=6.5593 c=6.5593 alpha=137.08 beta=137.08 gamma=62.32
With the nearest neighbours (Å) after each atom.
Element x y z (fractional)
Ca 0.0000 0.0000 0.0000  8 Tc 3.61, 8 La 3.69
La 0.2500 0.7500 0.5000  4 Tc 2.87
La 0.7500 0.2500 0.5000  4 Tc 2.87
Tc 0.3906 0.3906 0.0000  1 Tc 2.46
Tc 0.6094 0.6094 0.0000  1 Tc 2.46

Output
**Calculated volume**: 129 Å³ per cell
**Space group**: I4/mmm, No. 139
**Density**: 6.599 Mg/m³


Version x
An optimized crystal structure of CaLa2Tc2. Source: Alexandria, functional GGA-PBE.

Unit cell a=8.2377 b=8.2377 c=4.0660 alpha=90.00 beta=90.00 gamma=90.00
With the nearest neighbours (Å) after each atom.
Element x y z (fractional)
Ca 0.0000 0.0000 0.0000  4 Tc 3.41, 8 La 3.65
Ca 0.5000 0.5000 0.0000  4 Tc 3.41, 8 La 3.65
La 0.1763 0.3237 0.5000  6 Tc 3.11-3.33
La 0.3237 0.8237 0.5000  6 Tc 3.11-3.33
La 0.6763 0.1763 0.5000  6 Tc 3.11-3.33
La 0.8237 0.6763 0.5000  6 Tc 3.11-3.33
Tc 0.0978 0.5978 0.0000  1 Tc 2.28
Tc 0.4022 0.0978 0.0000  1 Tc 2.28
Tc 0.5978 0.9022 0.0000  1 Tc 2.28
Tc 0.9022 0.4022 0.0000  1 Tc 2.28

Output
**Calculated volume**: 276 Å³ per cell
**Space group**: P4/mbm, No. 127
**Density**: 6.185 Mg/m³


Which of them is the most stable? Correct choice: version x.


Version w
An optimized crystal structure of CaLaTc3. Source: Alexandria, functional GGA-PBE.

Unit cell a=4.9070 b=4.9070 c=4.9070 alpha=90.00 beta=90.00 gamma=90.00
With the nearest neighbours (Å) after each atom.
Element x y z (fractional)
Ca 0.0000 0.0000 0.0000  12 Tc 3.47
La 0.5000 0.5000 0.5000  6 Tc 2.45
Tc 0.0000 0.5000 0.5000  2 La 2.45
Tc 0.5000 0.0000 0.5000  2 La 2.45
Tc 0.5000 0.5000 0.0000  2 La 2.45

Output
**Calculated volume**: 118 Å³ per cell
**Space group**: Pm-3m, No. 221
**Density**: 6.647 Mg/m³


Version x
An optimized crystal structure of CaLaTc3. Source: Alexandria, functional GGA-PBE.

Unit cell a=4.8215 b=4.8215 c=4.8215 alpha=90.00 beta=90.00 gamma=90.00
With the nearest neighbours (Å) after each atom.
Element x y z (fractional)
Ca 0.0000 0.0000 0.0000  6 Tc 2.41
La 0.5000 0.5000 0.5000  12 Tc 3.41
Tc 0.0000 0.0000 0.5000  2 Ca 2.41
Tc 0.0000 0.5000 0.0000  2 Ca 2.41
Tc 0.5000 0.0000 0.0000  2 Ca 2.41

Output
**Calculated volume**: 112 Å³ per cell
**Space group**: Pm-3m, No. 221
**Density**: 7.007 Mg/m³


Which of them is the most stable? Correct choice: version w.


Version w
An optimized crystal structure of CaLaTe. Source: Alexandria, functional GGA-PBE.

Unit cell a=5.2277 b=5.2277 c=4.3057 alpha=90.00 beta=90.00 gamma=120.00
With the nearest neighbours (Å) after each atom.
Element x y z (fractional)
Ca 0.0000 0.0000 0.0000  3 Te 3.11
La 0.6667 0.3333 0.4953  3 Te 3.35, 6 Ca 3.70-3.72
Te 0.3333 0.6667 0.8307  3 Ca 3.11, 3 La 3.35

Output
**Calculated volume**: 102 Å³ per cell
**Space group**: P3m1, No. 156
**Density**: 4.996 Mg/m³


Version x
An optimized crystal structure of CaLaTe. Source: Alexandria, functional GGA-PBE.

Unit cell a=5.4895 b=5.4895 c=5.4895 alpha=60.00 beta=60.00 gamma=60.00
With the nearest neighbours (Å) after each atom.
Element x y z (fractional)
Ca 0.0000 0.0000 0.0000  4 La 3.36
La 0.2500 0.2500 0.2500  4 Ca 3.36, 4 Te 3.36
Te 0.5000 0.5000 0.5000  4 La 3.36

Output
**Calculated volume**: 117 Å³ per cell
**Space group**: F-43m, No. 216
**Density**: 4.352 Mg/m³


Version y
An optimized crystal structure of CaLaTe. Source: Alexandria, functional GGA-PBE.

Unit cell a=7.7178 b=7.7178 c=8.1977 alpha=90.00 beta=90.00 gamma=107.69
With the nearest neighbours (Å) after each atom.
Element x y z (fractional)
Ca 0.1925 0.8075 0.8252  3 Te 3.11-3.41
Ca 0.3075 0.6925 0.3252  3 Te 3.11-3.41
Ca 0.6925 0.3075 0.6748  3 Te 3.11-3.41
Ca 0.8075 0.1925 0.1748  3 Te 3.11-3.41
La 0.2055 0.2055 0.5000  4 Te 3.22-3.27
La 0.2945 0.2945 0.0000  4 Te 3.22-3.27
La 0.7055 0.7055 0.0000  4 Te 3.22-3.27
La 0.7945 0.7945 0.5000  4 Te 3.22-3.27
Te 0.0723 0.9277 0.1993  3 Ca 3.11-3.41, 4 La 3.22-3.27
Te 0.4277 0.5723 0.6993  3 Ca 3.11-3.41, 4 La 3.22-3.27
Te 0.5723 0.4277 0.3007  3 Ca 3.11-3.41, 4 La 3.22-3.27
Te 0.9277 0.0723 0.8007  3 Ca 3.11-3.41, 4 La 3.22-3.27

Output
**Calculated volume**: 465 Å³ per cell
**Space group**: Cmce, No. 64
**Density**: 4.377 Mg/m³


Version z
An optimized crystal structure of CaLaTe. Source: Alexandria, functional GGA-PBE.

Unit cell a=5.2902 b=5.2902 c=5.2902 alpha=60.00 beta=60.00 gamma=60.00
With the nearest neighbours (Å) after each atom.
Element x y z (fractional)
Ca 0.0000 0.0000 0.0000  4 Te 3.24
La 0.5000 0.5000 0.5000  4 Te 3.24
Te 0.7500 0.7500 0.7500  4 La 3.24, 4 Ca 3.24

Output
**Calculated volume**: 105 Å³ per cell
**Space group**: F-43m, No. 216
**Density**: 4.863 Mg/m³


Which of them is the most stable? Correct choice: version y.